NaMg2TlPb | GGA-PBE | relaxed

Lattice parameters (Å, degrees): 4.9941 7.6738 7.1928 100.85 90.00 90.00
Positions (direct):
Na  0.7500  0.3724  0.0948
Na  0.2500  0.6276  0.9052
Mg  0.2500  0.8284  0.4920
Mg  0.2500  0.0473  0.1635
Mg  0.7500  0.9527  0.8365
Mg  0.7500  0.1716  0.5080
Tl  0.7500  0.6082  0.5825
Tl  0.2500  0.3918  0.4175
Pb  0.7500  0.8230  0.2106
Pb  0.2500  0.1770  0.7894

Values from the calculation:
As for the crystal system: monoclinic. The calculation puts the energy relative to the elements at -2.056 kcal/mol of atoms.



NaMgTlPb3 | GGA-PBE | relaxed

Lattice parameters (Å, degrees): 3.5606 9.8483 10.4346 108.36 90.00 90.00
Positions (direct):
Na  0.7500  0.8692  0.7132
Na  0.2500  0.1308  0.2868
Mg  0.2500  0.6226  0.1227
Mg  0.7500  0.3774  0.8773
Tl  0.2500  0.1229  0.6287
Tl  0.7500  0.8771  0.3713
Pb  0.2500  0.6282  0.4582
Pb  0.7500  0.8657  0.0440
Pb  0.7500  0.3877  0.1962
Pb  0.7500  0.3718  0.5418
Pb  0.2500  0.6123  0.8038
Pb  0.2500  0.1343  0.9560

Values from the calculation:
As for the crystal system: monoclinic. The calculation puts the energy relative to the elements at -1.526 kcal/mol of atoms.



NaTmMg2Pb2 | GGA-PBE | relaxed

Lattice parameters (Å, degrees): 4.9678 4.9678 9.1750 74.29 74.29 60.00
Positions (direct):
Na  0.5000  0.5000  0.5000
Tm  0.0000  0.0000  0.0000
Mg  0.6212  0.6212  0.1365
Mg  0.3788  0.3788  0.8635
Pb  0.7441  0.7441  0.7677
Pb  0.2559  0.2559  0.2323

Values from the calculation:
As for the crystal system: trigonal. The calculation puts the energy relative to the elements at -1.379 kcal/mol of atoms.